[1]
This record from the Alexandria database describes K2CuPb at its PBEsol-relaxed geometry. The functional is SCAN.

```
4
Lattice="4.5603 0.0000 0.0000 0.0000 4.5603 0.0000 0.0000 0.0000 5.5775" Properties=species:S:1:pos:R:3 pbc="T T T"
K 0.0000 2.2802 0.0000
K 2.2802 0.0000 0.0000
Cu 0.0000 0.0000 2.7888
Pb 2.2802 2.2802 2.7888
```

- energy of formation from the pure elements (eV per atom) = 0.284
- VASP energy (eV/atom) = -26.626

***

[2]
This record from the Alexandria database describes KCu2Pb2 at its PBEsol-relaxed geometry. The functional is SCAN.

```
10
Lattice="4.7898 0.0000 0.0000 0.0000 4.7898 0.0000 0.0000 0.0000 10.5412" Properties=species:S:1:pos:R:3 pbc="T T T"
K 0.0000 0.0000 0.0000
K 2.3949 2.3949 5.2706
Cu 0.0000 0.0000 4.0403
Cu 0.0000 0.0000 6.5009
Cu 2.3949 2.3949 1.2303
Cu 2.3949 2.3949 9.3108
Pb 0.0000 2.3949 2.6353
Pb 0.0000 2.3949 7.9059
Pb 2.3949 0.0000 2.6353
Pb 2.3949 0.0000 7.9059
```

- energy of formation from the pure elements (eV per atom) = 0.114
- VASP energy (eV/atom) = -37.943

***

[3]
This record from the Alexandria database describes KCuPb at its PBEsol-relaxed geometry. The functional is SCAN.

```
12
Lattice="7.1428 0.0000 0.0000 0.0000 7.1428 0.0000 0.0000 0.0000 7.1428" Properties=species:S:1:pos:R:3 pbc="T T T"
K 0.0000 0.0000 0.0000
K 0.0000 3.5714 3.5714
K 3.5714 0.0000 3.5714
K 3.5714 3.5714 0.0000
Cu 0.0000 0.0000 3.5714
Cu 0.0000 3.5714 0.0000
Cu 3.5714 0.0000 0.0000
Cu 3.5714 3.5714 3.5714
Pb 1.7857 1.7857 1.7857
Pb 1.7857 5.3571 5.3571
Pb 5.3571 1.7857 5.3571
Pb 5.3571 5.3571 1.7857
```

- energy of formation from the pure elements (eV per atom) = 0.542
- VASP energy (eV/atom) = -32.561

***

[4]
This record from the Alexandria database describes K3CuPd at its PBEsol-relaxed geometry. The functional is SCAN.

```
5
Lattice="5.8300 0.0000 0.0000 0.0000 5.8300 0.0000 0.0000 0.0000 5.8300" Properties=species:S:1:pos:R:3 pbc="T T T"
K 0.0000 0.0000 2.9150
K 0.0000 2.9150 0.0000
K 2.9150 0.0000 0.0000
Cu 0.0000 0.0000 0.0000
Pd 2.9150 2.9150 2.9150
```

- energy of formation from the pure elements (eV per atom) = 0.544
- VASP energy (eV/atom) = -14.048